4
Lattice="-4.1826 -0.2638 2.7188 -0.2453 -3.0976 3.9116 -0.0813 1.8414 4.6431" Properties=species:S:1:pos:R:3 comment="NdTmBeZn GGA-PBE relaxed" ef_ev_per_atom=-0.0696 space_group="F-43m, No. 216" pbc="T T T"
Be -2.2546 -0.7600 5.6367
Zn 0.0000 0.0000 0.0000
Tm -1.1273 -0.3800 2.8184
Nd -3.3819 -1.1401 8.4551

12
Lattice="4.6321 0.0000 0.0000 0.0000 4.6321 0.0000 0.0000 0.0000 13.1510" Properties=species:S:1:pos:R:3 comment="DyMg2Hg9 GGA-PBE relaxed" ef_ev_per_atom=-0.1599 space_group="P4/mmm, No. 123" pbc="T T T"
Hg 0.0000 2.3160 2.2746
Hg 2.3160 2.3160 4.4376
Hg 2.3160 0.0000 10.8764
Hg 0.0000 2.3160 6.5755
Hg 2.3160 0.0000 2.2746
Hg 2.3160 2.3160 0.0000
Hg 0.0000 2.3160 10.8764
Hg 2.3160 2.3160 8.7134
Hg 2.3160 0.0000 6.5755
Dy 0.0000 0.0000 0.0000
Mg 0.0000 0.0000 8.7111
Mg 0.0000 0.0000 4.4399

14
Lattice="-1.2835 -5.9193 -0.9115 4.9323 -1.6124 3.5257 -5.4923 2.8747 8.9982" Properties=species:S:1:pos:R:3 comment="HoTh2Tl4 GGA-PBE relaxed" ef_ev_per_atom=-0.0909 space_group="P2_1/m, No. 11" pbc="T T T"
Tl -0.6750 -5.6890 1.1334
Tl -2.8974 -3.9665 5.0302
Tl -4.3321 0.1298 6.1770
Tl -1.9165 -0.6599 7.9037
Tl -1.1685 1.0320 10.4791
Tl 2.4886 -4.7868 5.4355
Tl 0.0730 -3.9971 3.7088
Tl 1.0539 -0.6905 6.5823
Th -2.4988 -2.0170 10.9457
Th -0.3409 -3.6287 7.1899
Th 0.6553 -2.6400 0.6667
Th -1.5026 -1.0283 4.4226
Ho 2.4353 -1.8882 4.1020
Ho -4.2788 -2.7688 7.5104

4
Lattice="-5.8272 -0.2375 -1.9844 -0.9458 -2.5845 -5.5115 2.5468 -1.1829 5.4832" Properties=species:S:1:pos:R:3 comment="MgTl2Hg GGA-PBE relaxed" ef_ev_per_atom=-0.0043 space_group="Immm, No. 71" pbc="T T T"
Mg -3.3334 -1.4157 -0.1246
Hg -0.8927 -2.5892 -1.8881
Tl -6.7617 -2.8172 -7.4834
Tl -3.3978 -1.4157 -3.7604

5
Lattice="5.5929 0.0000 0.0000 0.0000 5.7671 0.0000 0.0000 0.0000 5.5929" Properties=species:S:1:pos:R:3 comment="RbRh2BrCl GGA-PBE relaxed" space_group="P4/mmm, No. 123" formation_energy_uncorrected_ev_per_atom=1.51 pbc="T T T"
Rh 2.7964 0.0000 0.0000
Rh 0.0000 0.0000 2.7964
Cl 2.7964 2.8836 2.7964
Br 0.0000 2.8836 0.0000
Rb 0.0000 0.0000 0.0000

4
Lattice="-0.8317 0.0510 5.4458 3.1327 -3.1121 3.2942 3.6961 2.3681 3.3289" Properties=species:S:1:pos:R:3 comment="LaPmInHg GGA-PBE relaxed" ef_ev_per_atom=-0.4834 space_group="F-43m, No. 216" pbc="T T T"
Pm 0.0000 0.0000 0.0000
Hg 4.4979 -0.5198 9.0517
La 2.9986 -0.3465 6.0345
In 1.4993 -0.1733 3.0172

Number 1: volume 22.04 Å³/atom. Number 2: volume 23.51 Å³/atom. Number 3: volume 28.87 Å³/atom. Number 4: volume 26.85 Å³/atom. Number 5: volume 36.08 Å³/atom. Number 6: volume 29.56 Å³/atom.